1.
Si2NiP (PBE, optimized geometry); formation energy from raw total energies = 0.20 eV per atom; calculated volume = 54.8 Å³ per cell
1.0
-1.288 1.898 8.457
-3.873 1.760 7.661
-2.551 -0.496 8.369
Ni P Si
1 1 2
Cartesian
-3.832 1.571 12.168
-5.899 2.418 18.730
-0.006 0.003 0.020
-1.830 0.750 5.811

---

2.
SrLa2Bi2 (PBE, optimized geometry); ΔE to the lowest computed polymorph = 0.2406 eV/atom; calculated volume = 187.1 Å³ per cell; formation energy from the elements = -298 kJ/mol of formula units
1.0
-1.078 -2.311 -4.164
-3.078 -2.920 2.417
-7.920 2.462 -2.179
Sr Bi La
1 2 2
Cartesian
0.000 0.000 0.000
-3.304 -1.550 -1.148
-8.772 -1.219 -2.779
-5.538 -1.232 -3.609
-6.538 -1.537 -0.318

---

3.
CsGe4I8 (PBE, optimized geometry); ΔE to the lowest computed polymorph = 0.0754 eV/atom; formation energy from raw total energies = -0.31 eV per atom; calculated volume = 608.2 Å³ per cell
1.0
9.510 0.000 0.000
4.755 8.236 0.000
4.755 2.745 7.765
Cs Ge I
1 4 8
Cartesian
14.265 8.236 5.824
11.970 4.071 2.878
9.510 8.331 2.878
9.510 5.491 6.895
7.050 4.071 2.878
6.826 1.550 1.096
4.755 5.136 1.096
4.755 2.745 4.477
2.684 1.550 1.096
7.585 6.602 4.668
9.510 3.268 4.668
9.510 5.491 1.525
11.435 6.602 4.668

---

4.
BaTaAu2 (PBE, optimized geometry); ΔE to the lowest computed polymorph = 0.4899 eV/atom; calculated volume = 265.5 Å³ per cell; formation energy from the elements = 145 kJ/mol of formula units
1.0
-2.327 -4.466 2.408
-0.532 -2.420 -5.002
6.272 -6.976 -0.406
Au Ba Ta
4 2 2
Cartesian
-0.325 -5.552 1.164
-1.010 -7.566 -0.904
3.717 -7.427 -0.477
2.649 -9.225 1.628
-1.429 -3.443 -1.297
2.156 -6.420 -3.353
0.000 0.000 0.000
1.258 -7.443 0.353

---

5.
LiLa4Ho4O12 (PBE, optimized geometry); ΔE to the lowest computed polymorph = 0.0080 eV/atom; formation energy from raw total energies = -3.24 eV per atom; calculated volume = 314.4 Å³ per cell
1.0
5.929 0.001 0.004
-0.007 6.180 -0.002
-0.313 -0.021 8.581
Li La Ho O
1 4 4 12
Cartesian
1.955 2.339 3.823
5.810 0.342 2.225
2.677 2.724 6.630
3.018 3.596 1.790
-0.144 5.858 6.496
2.695 0.054 8.581
2.791 5.987 4.351
0.060 3.126 0.042
5.522 3.095 4.343
3.511 0.318 6.439
0.890 1.072 4.743
0.880 1.266 7.938
3.767 1.892 3.722
4.077 2.010 0.416
0.753 2.667 2.272
4.939 3.501 6.443
1.608 4.291 8.092
1.660 4.080 4.856
4.870 5.048 0.569
4.644 4.987 3.681
2.133 5.854 2.133

---

6.
Hf2Ti8Bi3 (PBE, optimized geometry); calculated volume = 291.2 Å³ per cell; formation energy from the elements = 494 kJ/mol of formula units
1.0
-3.104 -3.702 0.799
3.551 -1.226 8.113
-6.190 4.870 -1.481
Hf Ti Bi
2 8 3
Cartesian
-3.531 0.056 1.554
-2.211 -0.115 5.877
-2.920 -2.779 5.784
-2.822 2.721 1.647
-0.946 0.912 0.552
-4.796 -0.970 6.879
-3.944 0.957 4.114
-5.561 1.515 0.420
-0.181 -1.573 7.011
-1.798 -1.015 3.317
-1.552 -1.851 0.399
1.074 -0.371 2.454
2.477 -0.855 5.659

---

7.
Ce4In (PBE, optimized geometry); ΔE to the lowest computed polymorph = 0.7940 eV/atom; calculated volume = 205.1 Å³ per cell; formation energy from the elements = 319 kJ/mol of formula units
1.0
-1.007 4.631 3.510
0.911 -3.392 4.737
5.739 1.351 -0.136
Ce In
4 1
Cartesian
0.000 0.000 0.000
2.366 2.991 1.687
3.325 -1.021 2.301
-0.048 0.619 4.124
2.821 1.295 4.056

---

8.
NiP (PBE, optimized geometry); calculated volume = 48.4 Å³ per cell; formation energy from the elements = 52 kJ/mol of formula units
1.0
-3.252 -2.476 0.181
-3.469 1.303 1.735
-3.284 0.765 -2.317
Ni P
2 2
Cartesian
-5.003 -0.204 -0.200
-7.504 -0.306 -0.301
0.000 0.000 0.000
-2.501 -0.102 -0.100

---

9.
Zr2Zn3Rh (PBE, optimized geometry); calculated volume = 100.3 Å³ per cell; formation energy from the elements = -232 kJ/mol of formula units
1.0
4.602 -0.133 -2.411
-2.925 4.289 -0.228
-0.191 0.141 5.226
Zr Zn Rh
2 3 1
Cartesian
2.322 1.516 -1.264
-0.836 2.782 3.850
0.743 2.149 1.293
-0.096 0.070 2.613
2.205 0.004 1.407
0.000 0.000 0.000

---

10.
VIrPt3 (PBE, optimized geometry); ΔE to the lowest computed polymorph = 1.3889 eV/atom; calculated volume = 93.6 Å³ per cell; formation energy from the elements = 569 kJ/mol of formula units
1.0
-3.740 0.840 2.431
-2.527 -0.396 -3.751
-0.482 -4.444 0.794
Ir Pt V
1 3 1
Cartesian
-3.375 -2.000 -0.263
-1.263 -0.198 -1.875
-0.241 -2.222 0.397
-1.870 0.420 1.216
0.000 0.000 0.000

---

11.
BaNpTlI6 (PBE, optimized geometry); formation energy from raw total energies = -1.11 eV per atom; calculated volume = 933.7 Å³ per cell
1.0
8.530 0.000 0.000
-4.265 7.387 0.000
0.000 0.000 14.819
Ba Np Tl I
2 2 2 12
Cartesian
0.000 4.925 3.705
4.265 2.462 11.114
4.265 2.462 3.705
0.000 4.925 11.114
0.000 0.000 0.000
0.000 0.000 7.409
2.954 4.652 1.903
6.817 2.503 1.903
-1.240 7.155 9.312
-2.552 4.884 12.916
1.713 2.503 5.507
5.576 4.652 5.507
1.240 7.155 12.916
5.505 0.232 5.507
-1.311 2.735 9.312
3.024 0.232 1.903
2.552 4.884 9.312
1.311 2.735 12.916

---

12.
CaPm3Sm2Se6 (PBE, optimized geometry); formation energy from raw total energies = -1.86 eV per atom; calculated volume = 311.7 Å³ per cell
1.0
4.168 0.000 0.000
0.000 8.415 0.300
-2.084 -2.428 8.799
Ca Pm Sm Se
1 3 2 6
Cartesian
2.084 0.000 0.000
2.084 4.207 0.150
2.084 -0.175 5.889
0.000 6.162 3.210
2.084 3.959 6.010
0.000 2.028 3.089
0.000 6.090 6.186
2.084 4.090 3.084
2.084 -0.103 2.913
0.000 2.066 0.093
2.084 3.921 9.006
0.000 1.897 6.015

---

13.
Tb6HoEr2Tm (PBE, optimized geometry); calculated volume = 633.0 Å³ per cell; formation energy from the elements = 116 kJ/mol of formula units
1.0
-6.217 -0.743 7.157
2.393 -8.374 0.391
4.980 5.854 4.115
Tb Ho Er Tm
12 2 4 2
Cartesian
3.700 3.352 3.545
2.198 2.748 6.893
-2.545 -6.615 8.118
-1.043 -6.011 4.769
2.533 -5.936 4.411
0.304 -4.800 1.619
-1.378 2.673 7.251
0.851 1.537 10.043
3.417 -3.121 3.181
0.296 -2.797 4.111
-2.262 -0.142 8.482
0.859 -0.466 7.551
2.369 -0.140 4.384
-1.214 -3.123 7.278
2.576 -2.965 6.459
1.422 -1.390 1.242
-1.421 -0.298 5.203
-0.267 -1.874 10.420
0.901 -8.219 2.269
0.255 4.956 9.393

---

14.
RbZn2InF8 (PBE, optimized geometry); formation energy from raw total energies = -2.41 eV per atom; calculated volume = 203.1 Å³ per cell
1.0
-2.051 -4.972 -0.485
2.953 -4.291 1.428
-2.622 -2.611 7.789
Rb Zn In F
1 2 1 8
Cartesian
-0.860 -5.937 4.366
-0.411 -2.972 2.135
-1.309 -8.903 6.597
0.000 0.000 0.000
-1.087 -2.862 3.862
-0.909 -4.654 1.260
-0.634 -9.013 4.870
-0.506 -7.844 1.621
-1.215 -4.031 7.111
1.880 -5.811 2.425
-3.601 -6.064 6.308
-0.812 -7.221 7.472

---

15.
ScZnCdPb (PBE, optimized geometry); calculated volume = 86.2 Å³ per cell; formation energy from the elements = -80 kJ/mol of formula units
1.0
4.312 0.000 0.000
0.000 4.324 0.000
0.000 0.000 4.624
Sc Zn Cd Pb
1 1 1 1
Cartesian
2.156 0.000 2.312
2.156 2.162 0.000
0.000 0.000 0.000
0.000 2.162 2.312

---

16.
P3RhW (PBE, optimized geometry); ΔE to the lowest computed polymorph = 0.0000 eV/atom; calculated volume = 99.4 Å³ per cell; formation energy from the elements = 406 kJ/mol of formula units
1.0
4.633 0.000 0.000
0.000 4.633 0.000
0.000 0.000 4.633
P Rh W
3 1 1
Cartesian
0.000 2.316 0.000
0.000 0.000 2.316
2.316 0.000 0.000
2.316 2.316 2.316
0.000 0.000 0.000

---

17.
Pa2Ni2Pb (PBE, optimized geometry); calculated volume = 204.4 Å³ per cell; formation energy from the elements = -143 kJ/mol of formula units
1.0
3.636 0.000 0.000
0.000 7.499 0.000
0.000 0.000 7.499
Pa Ni Pb
4 4 2
Cartesian
0.000 5.019 2.480
0.000 6.229 6.229
0.000 1.270 1.270
0.000 2.480 5.019
1.818 2.820 2.820
1.818 6.569 0.929
1.818 0.929 6.569
1.818 4.679 4.679
1.818 3.749 0.000
1.818 0.000 3.749

---

18.
Ac3Tb2Cd2 (PBE, optimized geometry); calculated volume = 243.1 Å³ per cell; formation energy from the elements = -13 kJ/mol of formula units
1.0
5.276 0.000 0.700
0.000 3.747 0.000
1.035 0.000 12.434
Ac Tb Cd
3 2 2
Cartesian
4.798 0.000 4.306
0.000 0.000 0.000
1.513 0.000 8.828
4.357 1.873 7.627
1.954 1.873 5.507
3.906 1.873 11.024
2.405 1.873 2.110

---

19.
SrLaTl2Co (PBE, optimized geometry); calculated volume = 142.7 Å³ per cell; formation energy from the elements = -89 kJ/mol of formula units
1.0
-1.428 1.967 4.824
-5.073 -1.663 -0.824
1.072 -4.299 2.071
Sr Tl Co La
1 2 1 1
Cartesian
-2.715 -1.997 3.035
-2.537 -0.831 -0.412
-0.714 0.984 2.412
0.000 0.000 0.000
0.536 -2.149 1.035

---

20.
Cd2Pd9W (PBE, optimized geometry); calculated volume = 192.0 Å³ per cell; formation energy from the elements = -249 kJ/mol of formula units
1.0
-2.694 2.869 -0.550
-2.413 -1.764 2.618
5.034 6.453 8.989
Cd Pd W
2 9 1
Cartesian
1.675 2.147 2.991
3.359 4.306 5.998
-2.554 0.552 1.034
-0.915 2.653 3.960
0.842 4.904 7.097
-0.573 2.426 1.107
1.170 4.661 4.220
2.913 6.895 7.332
-0.433 0.110 2.691
1.311 2.344 5.804
3.054 4.578 8.916
0.000 0.000 0.000

---

| no. | raw total energy (eV per cell) | Fermi-level density of states (states/eV/cell) |
| --- | --- | --- |
| 1 | -21.3 | 1.96 |
| 2 | -22.4 | 4.47 |
| 3 | -35.8 | 4.99 |
| 4 | -37.6 | 6.27 |
| 5 | -167.4 | 5.55 |
| 6 | -89.6 | 15.51 |
| 7 | -23.2 | 26.28 |
| 8 | -21.3 | 1.60 |
| 9 | -30.7 | 6.55 |
| 10 | -30.2 | 5.38 |
| 11 | -73.0 | 17.77 |
| 12 | -68.9 | 5.13 |
| 13 | -89.5 | 27.84 |
| 14 | -50.2 | 0.00 |
| 15 | -13.1 | 1.42 |
| 16 | -32.3 | 3.12 |
| 17 | -71.5 | 9.02 |
| 18 | -23.5 | 8.50 |
| 19 | -19.4 | 3.29 |
| 20 | -64.1 | 7.91 |